VASP calculation (PBE with a Hubbard U) on a geometry-optimized W2OF structure.

- space group = Fm-3m (225)
- mass density (Mg/m³) = 12.88
- excess energy over the best structure of this formula in the dataset (eV/atom) = 0.732
- magnetic moment (μB/f.u.) = 0.007

a = 4.1875 Å, b = 4.1875 Å, c = 4.1875 Å
α = 60.00°, β = 60.00°, γ = 60.00°
Closest atoms and distances in Å follow each position.
Element x y z (fractional)
O 0.0000 0.0000 0.0000  8 W 2.56
W 0.2500 0.2500 0.2500  4 F 2.56, 4 O 2.56
W 0.7500 0.7500 0.7500  4 O 2.56, 4 F 2.56
F 0.5000 0.5000 0.5000  8 W 2.56